# PSe2Cl5 (PBE, optimized geometry)
# SG = P1
# Raw formation energy = -301 meV/atom
# Fermi-level density of states = 0.152 states/eV per atom
data_PSe2Cl5
_chemical_formula_sum 'P1 Se2 Cl5'
_space_group_name_H-M_alt 'P 1'
_space_group_IT_number 1
_space_group_name_Hall 'P 1'
_cell_length_a 6.419
_cell_length_b 6.942
_cell_length_c 8.508
_cell_angle_alpha 109.80
_cell_angle_beta 93.85
_cell_angle_gamma 101.49
loop_
_atom_site_label
_atom_site_type_symbol
_atom_site_fract_x
_atom_site_fract_y
_atom_site_fract_z
_atom_site_occupancy
P1 P 0.000 0.000 0.000 1
Se1 Se 0.503 0.223 0.640 1
Se2 Se 0.548 0.549 0.617 1
Cl1 Cl 0.106 0.873 0.170 1
Cl2 Cl 0.220 0.288 0.079 1
Cl3 Cl 0.254 0.697 0.654 1
Cl4 Cl 0.735 0.091 0.100 1
Cl5 Cl 0.797 0.075 0.606 1

=====

# PSeCl2 (PBE, optimized geometry)
# SG = R-3m
# Raw formation energy = 550 meV/atom
# Relative energy among the computed polymorphs = 765.2 meV/atom
# Fermi-level density of states = 0.502 states/eV per atom
data_PSeCl2
_chemical_formula_sum 'P1 Se1 Cl2'
_space_group_name_H-M_alt 'P 1'
_space_group_IT_number 1
_space_group_name_Hall 'P 1'
_cell_length_a 8.819
_cell_length_b 8.819
_cell_length_c 8.819
_cell_angle_alpha 23.24
_cell_angle_beta 23.24
_cell_angle_gamma 23.24
loop_
_atom_site_label
_atom_site_type_symbol
_atom_site_fract_x
_atom_site_fract_y
_atom_site_fract_z
_atom_site_occupancy
P1 P 0.000 0.000 0.000 1
Se1 Se 0.500 0.500 0.500 1
Cl1 Cl 0.277 0.277 0.277 1
Cl2 Cl 0.723 0.723 0.723 1

=====

# PSe2Cl (PBE, optimized geometry)
# SG = I4/mmm
# Raw formation energy = 494 meV/atom
# Relative energy among the computed polymorphs = 692.8 meV/atom
# Fermi-level density of states = 0.731 states/eV per atom
data_PSe2Cl
_chemical_formula_sum 'P1 Se2 Cl1'
_space_group_name_H-M_alt 'P 1'
_space_group_IT_number 1
_space_group_name_Hall 'P 1'
_cell_length_a 4.805
_cell_length_b 4.805
_cell_length_c 4.805
_cell_angle_alpha 108.62
_cell_angle_beta 108.62
_cell_angle_gamma 111.19
loop_
_atom_site_label
_atom_site_type_symbol
_atom_site_fract_x
_atom_site_fract_y
_atom_site_fract_z
_atom_site_occupancy
P1 P 0.000 0.000 0.000 1
Se1 Se 0.000 0.500 0.500 1
Se2 Se 0.500 0.000 0.500 1
Cl1 Cl 0.500 0.500 0.000 1

=====

# PSeCl2 (PBE, optimized geometry)
# SG = Imm2
# Raw formation energy = 163 meV/atom
# Relative energy among the computed polymorphs = 377.8 meV/atom
# Fermi-level density of states = 0.590 states/eV per atom
data_PSeCl2
_chemical_formula_sum 'P1 Se1 Cl2'
_space_group_name_H-M_alt 'P 1'
_space_group_IT_number 1
_space_group_name_Hall 'P 1'
_cell_length_a 7.438
_cell_length_b 7.438
_cell_length_c 7.438
_cell_angle_alpha 153.57
_cell_angle_beta 145.92
_cell_angle_gamma 43.64
loop_
_atom_site_label
_atom_site_type_symbol
_atom_site_fract_x
_atom_site_fract_y
_atom_site_fract_z
_atom_site_occupancy
P1 P 0.000 0.000 0.000 1
Se1 Se 0.880 0.380 0.500 1
Cl1 Cl 0.310 0.810 0.500 1
Cl2 Cl 0.558 0.558 0.000 1

=====

What did the first record say?
# PSe2Cl5 (PBE, optimized geometry)
# SG = P1
# Raw formation energy = -301 meV/atom
# Fermi-level density of states = 0.152 states/eV per atom
data_PSe2Cl5
_chemical_formula_sum 'P1 Se2 Cl5'
_space_group_name_H-M_alt 'P 1'
_space_group_IT_number 1
_space_group_name_Hall 'P 1'
_cell_length_a 6.419
_cell_length_b 6.942
_cell_length_c 8.508
_cell_angle_alpha 109.80
_cell_angle_beta 93.85
_cell_angle_gamma 101.49
loop_
_atom_site_label
_atom_site_type_symbol
_atom_site_fract_x
_atom_site_fract_y
_atom_site_fract_z
_atom_site_occupancy
P1 P 0.000 0.000 0.000 1
Se1 Se 0.503 0.223 0.640 1
Se2 Se 0.548 0.549 0.617 1
Cl1 Cl 0.106 0.873 0.170 1
Cl2 Cl 0.220 0.288 0.079 1
Cl3 Cl 0.254 0.697 0.654 1
Cl4 Cl 0.735 0.091 0.100 1
Cl5 Cl 0.797 0.075 0.606 1

=====

> What is the raw formation energy in the first record?

-301 meV/atom